Computed, not measured: SrZnNO after structural relaxation at the PBE-GGA level of DFT.

As for the calculated density: 5287 kg/m3. As for the total energy: -36.458 eV/cell. As for the energy relative to the lowest polymorph listed for this composition: 0.5553 eV/atom.

Cell lengths 4.850, 4.850, 4.888 Å; angles 90.00, 90.00, 90.00 degrees
Space group P4/nmm (No. 129, origin choice 2)
Asymmetric unit:
Sr: 0.250 0.750 0.000
Zn: 0.250 0.250 0.464
N: 0.250 0.250 0.048
O: 0.250 0.750 0.500